Record 1
# SrLiSc2 meta-GGA SCAN single point on PBEsol structure
# - Energy of formation: 0.44 eV per atom
# - ΔE to the lowest computed polymorph: 0.257 eV/atom
# - VASP energy: -12.841 eV per atom
data_SrLiSc2
_cell_length_a 3.297
_cell_length_b 5.384
_cell_length_c 6.213
_cell_angle_alpha 90.00
_cell_angle_beta 90.00
_cell_angle_gamma 90.00
_space_group_name_H-M_alt 'P m m m'
_space_group_IT_number 47
loop_
_space_group_symop_operation_xyz
'x,y,z'
'-x,-y,-z'
'-x,-y,z'
'x,y,-z'
'x,-y,-z'
'-x,y,z'
'-x,y,-z'
'x,-y,z'
loop_
_atom_site_label
_atom_site_fract_x
_atom_site_fract_y
_atom_site_fract_z
_atom_site_occupancy
Sr1 0.000 0.000 0.000 1
Li1 0.000 0.000 0.500 1
Sc1 0.500 0.500 0.264 1



Record 2
# SrLi2Sc meta-GGA SCAN single point on PBEsol structure
# - Energy of formation: 0.31 eV per atom
# - ΔE to the lowest computed polymorph: 0.120 eV/atom
# - VASP energy: -10.012 eV per atom
data_SrLi2Sc
_cell_length_a 4.582
_cell_length_b 4.582
_cell_length_c 10.693
_cell_angle_alpha 90.00
_cell_angle_beta 90.00
_cell_angle_gamma 90.00
_space_group_name_H-M_alt 'I -4 m 2'
_space_group_IT_number 119
_space_group_name_Hall 'I -4 -2'
loop_
_atom_site_label
_atom_site_fract_x
_atom_site_fract_y
_atom_site_fract_z
_atom_site_occupancy
Sr1 0.000 0.000 0.000 1
Li1 0.000 0.000 0.500 1
Li2 0.000 0.500 0.250 1
Sc1 0.000 0.500 0.750 1



Record 3
# SrLi2Sc meta-GGA SCAN single point on PBEsol structure
# - Energy of formation: 0.19 eV per atom
# - ΔE to the lowest computed polymorph: 0.000 eV/atom
# - VASP energy: -10.131 eV per atom
data_SrLi2Sc
_cell_length_a 3.757
_cell_length_b 3.757
_cell_length_c 7.719
_cell_angle_alpha 90.00
_cell_angle_beta 90.00
_cell_angle_gamma 90.00
_space_group_name_H-M_alt 'P 4/m m m'
_space_group_IT_number 123
_space_group_name_Hall '-P 4 2'
loop_
_atom_site_label
_atom_site_fract_x
_atom_site_fract_y
_atom_site_fract_z
_atom_site_occupancy
Sr1 0.000 0.000 0.000 1
Li1 0.500 0.500 0.296 1
Sc1 0.000 0.000 0.500 1



Record 4
# LiScTa2 meta-GGA SCAN single point on PBEsol structure
# - Energy of formation: 0.75 eV per atom
# - ΔE to the lowest computed polymorph: 0.318 eV/atom
# - VASP energy: -36.703 eV per atom
data_LiScTa2
_cell_length_a 6.506
_cell_length_b 6.506
_cell_length_c 6.506
_cell_angle_alpha 90.00
_cell_angle_beta 90.00
_cell_angle_gamma 90.00
_space_group_name_H-M_alt 'F m -3 m'
_space_group_IT_number 225
_space_group_name_Hall '-F 4 2 3'
loop_
_atom_site_label
_atom_site_fract_x
_atom_site_fract_y
_atom_site_fract_z
_atom_site_occupancy
Li1 0.000 0.000 0.000 1
Sc1 0.000 0.000 0.500 1
Ta1 0.250 0.250 0.250 1